No. 1
{
  "formula": "Mn2CrCd",
  "functional": "PBE",
  "state": "relaxed",
  "total_energy_ev_per_atom": -6.86,
  "lattice_angstrom": [[4.481, 0.567, 0.022], [-0.563, 4.482, 0.022], [-0.013, -0.017, 3.025]],
  "species": ["Cd", "Cr", "Mn", "Mn"],
  "fractional_positions": [[0.500, 0.000, 0.500], [0.000, 0.500, 0.500], [0.000, 0.000, 0.000], [0.500, 0.500, 0.000]]
}

---

No. 2
{
  "formula": "Mn4CrCd",
  "functional": "PBE",
  "state": "relaxed",
  "total_energy_ev_per_atom": -7.58,
  "lattice_angstrom": [[-1.160, 2.546, 3.903], [-4.587, 0.310, 1.389], [-1.459, -2.247, 3.986]],
  "species": ["Mn", "Mn", "Mn", "Mn", "Cr", "Cd"],
  "fractional_positions": [[0.873, 0.376, 0.376], [0.376, 0.376, 0.873], [0.376, 0.873, 0.376], [0.376, 0.376, 0.376], [0.000, 0.000, 0.000], [0.750, 0.750, 0.750]]
}

---

No. 3
{
  "formula": "Mn2CrCd",
  "functional": "PBE",
  "state": "relaxed",
  "total_energy_ev_per_atom": -6.81,
  "lattice_angstrom": [[-5.573, -1.606, 6.644], [-5.201, -4.219, 5.739], [-3.386, -3.092, 7.534]],
  "species": ["Cd", "Cr", "Mn", "Mn"],
  "fractional_positions": [[0.500, 0.500, 0.500], [0.738, 0.738, 0.738], [0.002, 0.002, 0.002], [0.261, 0.261, 0.261]]
}

---

No. 4
{
  "formula": "MnCrCd2",
  "functional": "PBE",
  "state": "relaxed",
  "e_above_lowest_polymorph_mev_per_atom": 169,
  "total_energy_ev_per_atom": -4.79,
  "lattice_angstrom": [[4.630, 0.000, 0.000], [0.000, 2.986, 0.002], [0.000, -0.003, 5.196]],
  "species": ["Cd", "Cd", "Cr", "Mn"],
  "fractional_positions": [[0.000, 0.125, 0.968], [0.500, 0.125, 0.283], [0.000, 0.625, 0.494], [0.500, 0.625, 0.755]]
}

---

No. 5
{
  "formula": "Mn2CrCd",
  "functional": "PBE",
  "state": "relaxed",
  "total_energy_ev_per_atom": -6.19,
  "lattice_angstrom": [[3.772, 0.000, 0.000], [0.000, 3.772, 0.000], [1.886, 1.886, 8.439]],
  "species": ["Cr", "Cr", "Mn", "Mn", "Mn", "Mn", "Cd", "Cd"],
  "fractional_positions": [[0.500, 0.500, 0.000], [0.250, 0.750, 0.500], [0.528, 0.125, 0.250], [0.222, 0.625, 0.250], [0.375, 0.472, 0.750], [0.875, 0.778, 0.750], [0.000, 0.000, 0.000], [0.750, 0.250, 0.500]]
}

---

No. 6
{
  "formula": "MnCrCd2",
  "functional": "PBE",
  "state": "relaxed",
  "e_above_lowest_polymorph_mev_per_atom": 266,
  "total_energy_ev_per_atom": -4.70,
  "lattice_angstrom": [[5.148, -0.035, -0.012], [4.277, 2.866, -0.012], [0.928, 0.279, 4.944]],
  "species": ["Cd", "Cd", "Cr", "Mn"],
  "fractional_positions": [[0.997, 0.997, 0.023], [0.754, 0.754, 0.727], [0.503, 0.503, 0.508], [0.247, 0.247, 0.242]]
}

---

No. 7
{
  "formula": "MnCr2Cd",
  "functional": "PBE",
  "state": "relaxed",
  "total_energy_ev_per_atom": -6.74,
  "lattice_angstrom": [[5.116, 0.000, 0.001], [-2.272, 4.494, -0.004], [0.573, 0.707, 2.417]],
  "species": ["Cd", "Cr", "Cr", "Mn"],
  "fractional_positions": [[0.500, 0.500, 0.000], [0.000, 0.000, 0.000], [0.500, 0.000, 0.500], [0.000, 0.500, 0.500]]
}

---

No. 8
{
  "formula": "MnCr2Cd",
  "functional": "PBE",
  "state": "relaxed",
  "total_energy_ev_per_atom": -6.70,
  "lattice_angstrom": [[-2.344, 4.241, 0.820], [-2.126, -4.039, 1.822], [1.305, 0.299, 2.185]],
  "species": ["Cd", "Cr", "Cr", "Mn"],
  "fractional_positions": [[0.000, 0.500, 0.500], [0.000, 0.000, 0.000], [0.500, 0.500, 0.000], [0.500, 0.000, 0.500]]
}

---

Energy relative to the elements values, unit kJ/mol of formula units, following the record order: 139, 169, 158, 140, 399, 177, 230, 242.